Here is a geometry-optimized CaNd2Eu structure from the Alexandria database. Energies are from PBE.

Cell and atoms, written as CIF:
```
data_CaNd2Eu
_symmetry_space_group_name_H-M 'P 1'
_symmetry_Int_Tables_number 1
_symmetry_space_group_name_Hall 'P 1'
_cell_length_a 5.9763
_cell_length_b 5.9763
_cell_length_c 5.9763
_cell_angle_alpha 60.00
_cell_angle_beta 60.00
_cell_angle_gamma 60.00
loop_
_atom_site_label
_atom_site_fract_x
_atom_site_fract_y
_atom_site_fract_z
Eu1 0.0000 0.0000 0.0000
Nd1 0.2500 0.2500 0.2500
Nd2 0.7500 0.7500 0.7500
Ca1 0.5000 0.5000 0.5000
```

Output
The calculation puts the electronic total energy at -21.3 eV for the cell shown. The calculation puts the total magnetization at 7.4 μB/cell. As for the symmetry: Fm-3m (225). The density of states at the Fermi level is 1.271 states/eV/atom. The relative energy among the computed polymorphs is 26 meV/atom.

***

Here is a geometry-optimized Sc2Co2W structure from the Alexandria database. Energies are from PBE.

Cell and atoms, written as CIF:
```
data_Sc2Co2W
_symmetry_space_group_name_H-M 'P 1'
_symmetry_Int_Tables_number 1
_symmetry_space_group_name_Hall 'P 1'
_cell_length_a 6.2305
_cell_length_b 6.2305
_cell_length_c 4.2004
_cell_angle_alpha 90.00
_cell_angle_beta 90.00
_cell_angle_gamma 90.00
loop_
_atom_site_label
_atom_site_fract_x
_atom_site_fract_y
_atom_site_fract_z
Sc1 0.8217 0.3217 0.5000
Sc2 0.1783 0.6783 0.5000
Sc3 0.6783 0.8217 0.5000
Sc4 0.3217 0.1783 0.5000
Co1 0.1323 0.3677 0.0000
Co2 0.3677 0.8677 0.0000
Co3 0.6323 0.1323 0.0000
Co4 0.8677 0.6323 0.0000
W1 0.0000 0.0000 0.0000
W2 0.5000 0.5000 0.0000
```

Output
The calculation puts the electronic total energy at -80.8 eV for the cell shown. The calculation puts the total magnetization at 0.0 μB/cell. As for the symmetry: P4/mbm (127). The density of states at the Fermi level is 1.113 states/eV/atom. The relative energy among the computed polymorphs is 0 meV/atom.

***

Here is a geometry-optimized CaZrSc structure from the Alexandria database. Energies are from PBE.

Cell and atoms, written as CIF:
```
data_CaZrSc
_symmetry_space_group_name_H-M 'P 1'
_symmetry_Int_Tables_number 1
_symmetry_space_group_name_Hall 'P 1'
_cell_length_a 6.2306
_cell_length_b 6.2306
_cell_length_c 6.2306
_cell_angle_alpha 149.16
_cell_angle_beta 137.72
_cell_angle_gamma 53.24
loop_
_atom_site_label
_atom_site_fract_x
_atom_site_fract_y
_atom_site_fract_z
Sc1 0.6880 0.6880 0.0000
Zr1 0.3119 0.3119 0.0000
Ca1 0.0000 0.0000 0.0000
```

Output
The calculation puts the electronic total energy at -16.0 eV for the cell shown. The calculation puts the total magnetization at 0.0 μB/cell. As for the symmetry: Imm2 (44). The density of states at the Fermi level is 1.942 states/eV/atom. The relative energy among the computed polymorphs is 135 meV/atom.

***

Here is a geometry-optimized Tm4TlPbN structure from the Alexandria database. Energies are from PBE.

Cell and atoms, written as CIF:
```
data_Tm4TlPbN
_symmetry_space_group_name_H-M 'P 1'
_symmetry_Int_Tables_number 1
_symmetry_space_group_name_Hall 'P 1'
_cell_length_a 6.5762
_cell_length_b 6.5762
_cell_length_c 8.5928
_cell_angle_alpha 90.00
_cell_angle_beta 112.50
_cell_angle_gamma 90.00
loop_
_atom_site_label
_atom_site_fract_x
_atom_site_fract_y
_atom_site_fract_z
N1 0.7482 0.2500 0.4964
N2 0.2518 0.7500 0.5036
Tm1 0.0000 0.5000 0.5000
Tm2 0.5000 0.5000 0.5000
Tm3 0.5931 0.2500 0.1862
Tm4 0.0881 0.7500 0.1762
Tm5 0.4069 0.7500 0.8138
Tm6 0.0000 0.0000 0.5000
Tm7 0.9119 0.2500 0.8238
Tm8 0.5000 0.0000 0.5000
Tl1 0.8906 0.7500 0.7812
Tl2 0.1094 0.2500 0.2188
Pb1 0.3941 0.2500 0.7882
Pb2 0.6059 0.7500 0.2118
```

Output
The calculation puts the electronic total energy at -75.8 eV for the cell shown. The calculation puts the total magnetization at 0.0 μB/cell. As for the symmetry: Cmcm (63). The density of states at the Fermi level is 0.142 states/eV/atom. The uncorrected formation energy is -0.80 eV/atom.

***

Here is a geometry-optimized AcAu6 structure from the Alexandria database. Energies are from PBE.

Cell and atoms, written as CIF:
```
data_AcAu6
_symmetry_space_group_name_H-M 'P 1'
_symmetry_Int_Tables_number 1
_symmetry_space_group_name_Hall 'P 1'
_cell_length_a 6.4292
_cell_length_b 6.4292
_cell_length_c 6.4292
_cell_angle_alpha 109.47
_cell_angle_beta 109.47
_cell_angle_gamma 109.47
loop_
_atom_site_label
_atom_site_fract_x
_atom_site_fract_y
_atom_site_fract_z
Au1 0.2500 0.7500 0.5000
Au2 0.7500 0.2500 0.5000
Au3 0.5000 0.7500 0.2500
Au4 0.7500 0.5000 0.2500
Au5 0.2500 0.5000 0.7500
Au6 0.5000 0.2500 0.7500
Ac1 0.0000 0.0000 0.0000
```

Output
The calculation puts the electronic total energy at -22.6 eV for the cell shown. The calculation puts the total magnetization at 0.0 μB/cell. As for the symmetry: Im-3m (229). The density of states at the Fermi level is 0.835 states/eV/atom. The relative energy among the computed polymorphs is 612 meV/atom.

***

Here is a geometry-optimized CrTcMo2N structure from the Alexandria database. Energies are from PBE.

Cell and atoms, written as CIF:
```
data_CrTcMo2N
_symmetry_space_group_name_H-M 'P 1'
_symmetry_Int_Tables_number 1
_symmetry_space_group_name_Hall 'P 1'
_cell_length_a 4.1091
_cell_length_b 4.1091
_cell_length_c 3.8471
_cell_angle_alpha 90.00
_cell_angle_beta 90.00
_cell_angle_gamma 90.00
loop_
_atom_site_label
_atom_site_fract_x
_atom_site_fract_y
_atom_site_fract_z
Tc1 0.5000 0.5000 0.5000
Cr1 0.0000 0.0000 0.5000
Mo1 0.5000 0.0000 0.0000
Mo2 0.0000 0.5000 0.0000
N1 0.0000 0.0000 0.0000
```

Output
The calculation puts the electronic total energy at -50.5 eV for the cell shown. The calculation puts the total magnetization at 0.6 μB/cell. As for the symmetry: P4/mmm (123). The density of states at the Fermi level is 0.922 states/eV/atom. The uncorrected formation energy is -0.10 eV/atom.

***

Here is a geometry-optimized TlCdAuS2 structure from the Alexandria database. Energies are from PBE.

Cell and atoms, written as CIF:
```
data_TlCdAuS2
_symmetry_space_group_name_H-M 'P 1'
_symmetry_Int_Tables_number 1
_symmetry_space_group_name_Hall 'P 1'
_cell_length_a 5.8082
_cell_length_b 6.7601
_cell_length_c 7.5641
_cell_angle_alpha 116.54
_cell_angle_beta 90.00
_cell_angle_gamma 90.00
loop_
_atom_site_label
_atom_site_fract_x
_atom_site_fract_y
_atom_site_fract_z
S1 0.2925 0.3814 0.7627
S2 0.7075 0.8814 0.7627
S3 0.2925 0.1186 0.2373
S4 0.7075 0.6186 0.2373
Cd1 0.5000 0.2500 0.0000
Cd2 0.5000 0.7500 0.0000
Au1 0.0000 0.5000 0.0000
Au2 0.0000 0.0000 0.0000
Tl1 0.2057 0.7500 0.5000
Tl2 0.7943 0.2500 0.5000
```

Output
The calculation puts the electronic total energy at -33.0 eV for the cell shown. The calculation puts the total magnetization at 0.0 μB/cell. As for the symmetry: Cmme (67). The uncorrected formation energy is -0.34 eV/atom.

***

Here is a geometry-optimized Pr2PaSe2N2 structure from the Alexandria database. Energies are from PBE.

Cell and atoms, written as CIF:
```
data_Pr2PaSe2N2
_symmetry_space_group_name_H-M 'P 1'
_symmetry_Int_Tables_number 1
_symmetry_space_group_name_Hall 'P 1'
_cell_length_a 4.3834
_cell_length_b 4.3834
_cell_length_c 8.4873
_cell_angle_alpha 104.97
_cell_angle_beta 104.97
_cell_angle_gamma 90.00
loop_
_atom_site_label
_atom_site_fract_x
_atom_site_fract_y
_atom_site_fract_z
Se1 0.8180 0.8180 0.6360
Se2 0.1820 0.1820 0.3640
Pr1 0.6250 0.6250 0.2501
Pr2 0.3750 0.3750 0.7499
N1 0.5000 0.0000 0.0000
N2 0.0000 0.5000 0.0000
Pa1 0.0000 0.0000 0.0000
```

Output
The calculation puts the electronic total energy at -53.7 eV for the cell shown. The calculation puts the total magnetization at 0.0 μB/cell. As for the symmetry: I4/mmm (139). The density of states at the Fermi level is 0.719 states/eV/atom. The uncorrected formation energy is -1.58 eV/atom.

***

Here is a geometry-optimized Ca2PuGaO6 structure from the Alexandria database. Energies are from PBE.

Cell and atoms, written as CIF:
```
data_Ca2PuGaO6
_symmetry_space_group_name_H-M 'P 1'
_symmetry_Int_Tables_number 1
_symmetry_space_group_name_Hall 'P 1'
_cell_length_a 5.5744
_cell_length_b 5.7449
_cell_length_c 7.9983
_cell_angle_alpha 90.00
_cell_angle_beta 90.56
_cell_angle_gamma 90.00
loop_
_atom_site_label
_atom_site_fract_x
_atom_site_fract_y
_atom_site_fract_z
O1 0.8070 0.7911 0.9457
O2 0.1930 0.2089 0.0543
O3 0.3978 0.9616 0.7424
O4 0.8978 0.5384 0.2424
O5 0.1022 0.4616 0.7576
O6 0.7928 0.8025 0.5532
O7 0.6930 0.2911 0.5543
O8 0.3070 0.7089 0.4457
O9 0.6022 0.0384 0.2576
O10 0.2072 0.1975 0.4468
O11 0.2928 0.6975 0.0532
O12 0.7072 0.3025 0.9468
Ga1 0.0000 0.5000 0.0000
Ga2 0.5000 0.0000 0.5000
Ca1 0.0143 0.9485 0.2485
Ca2 0.9857 0.0515 0.7515
Ca3 0.4857 0.4485 0.2515
Ca4 0.5143 0.5515 0.7485
Pu1 0.0000 0.5000 0.5000
Pu2 0.5000 0.0000 0.0000
```

Output
The calculation puts the electronic total energy at -155.2 eV for the cell shown. The calculation puts the total magnetization at 6.0 μB/cell. As for the symmetry: P2_1/c (14). The density of states at the Fermi level is 1.009 states/eV/atom. The uncorrected formation energy is -2.65 eV/atom.

***

Here is a geometry-optimized PaCo2Ge2As structure from the Alexandria database. Energies are from PBE.

Cell and atoms, written as CIF:
```
data_PaCo2Ge2As
_symmetry_space_group_name_H-M 'P 1'
_symmetry_Int_Tables_number 1
_symmetry_space_group_name_Hall 'P 1'
_cell_length_a 4.3538
_cell_length_b 4.3538
_cell_length_c 5.4623
_cell_angle_alpha 90.00
_cell_angle_beta 90.00
_cell_angle_gamma 90.00
loop_
_atom_site_label
_atom_site_fract_x
_atom_site_fract_y
_atom_site_fract_z
Co1 0.0000 0.5000 0.0000
Co2 0.5000 0.0000 0.0000
Ge1 0.5000 0.5000 0.2653
Ge2 0.5000 0.5000 0.7347
Pa1 0.0000 0.0000 0.5000
As1 0.0000 0.0000 0.0000
```

Output
The calculation puts the electronic total energy at -38.2 eV for the cell shown. The calculation puts the total magnetization at 0.0 μB/cell. As for the symmetry: P4/mmm (123). The density of states at the Fermi level is 1.153 states/eV/atom.

***

Here is a geometry-optimized Sc6GaCo2 structure from the Alexandria database. Energies are from PBE.

Cell and atoms, written as CIF:
```
data_Sc6GaCo2
_symmetry_space_group_name_H-M 'P 1'
_symmetry_Int_Tables_number 1
_symmetry_space_group_name_Hall 'P 1'
_cell_length_a 7.6938
_cell_length_b 7.6938
_cell_length_c 7.6938
_cell_angle_alpha 106.67
_cell_angle_beta 110.33
_cell_angle_gamma 111.45
loop_
_atom_site_label
_atom_site_fract_x
_atom_site_fract_y
_atom_site_fract_z
Sc1 0.2015 0.7597 0.9612
Sc2 0.7985 0.2403 0.0388
Sc3 0.2015 0.2403 0.4418
Sc4 0.7985 0.7597 0.5582
Sc5 0.3050 0.9796 0.6746
Sc6 0.3050 0.6304 0.3254
Sc7 0.6950 0.0204 0.3254
Sc8 0.4632 0.2796 0.1836
Sc9 0.6950 0.3696 0.6746
Sc10 0.9040 0.7204 0.1836
Sc11 0.5368 0.7204 0.8164
Sc12 0.0960 0.2796 0.8164
Co1 0.6585 0.0000 0.6585
Co2 0.5000 0.3780 0.8780
Co3 0.5000 0.6220 0.1220
Co4 0.3415 0.0000 0.3415
Ga1 0.0000 0.5000 0.5000
Ga2 0.0000 0.0000 0.0000
```

Output
The calculation puts the electronic total energy at -117.1 eV for the cell shown. The calculation puts the total magnetization at 0.0 μB/cell. As for the symmetry: Immm (71). The density of states at the Fermi level is 1.039 states/eV/atom.

***

Here is a geometry-optimized Pm2Zn structure from the Alexandria database. Energies are from PBE.

Cell and atoms, written as CIF:
```
data_Pm2Zn
_symmetry_space_group_name_H-M 'P 1'
_symmetry_Int_Tables_number 1
_symmetry_space_group_name_Hall 'P 1'
_cell_length_a 5.1738
_cell_length_b 6.8165
_cell_length_c 9.4310
_cell_angle_alpha 90.00
_cell_angle_beta 90.00
_cell_angle_gamma 90.00
loop_
_atom_site_label
_atom_site_fract_x
_atom_site_fract_y
_atom_site_fract_z
Pm1 0.7500 0.8318 0.4209
Pm2 0.7500 0.9890 0.8079
Pm3 0.7500 0.3318 0.0791
Pm4 0.2500 0.6682 0.9209
Pm5 0.2500 0.1682 0.5791
Pm6 0.2500 0.0110 0.1921
Pm7 0.7500 0.4890 0.6921
Pm8 0.2500 0.5110 0.3079
Zn1 0.2500 0.7205 0.5987
Zn2 0.2500 0.2205 0.9013
Zn3 0.7500 0.2795 0.4013
Zn4 0.7500 0.7795 0.0987
```

Output
The calculation puts the electronic total energy at -45.5 eV for the cell shown. The calculation puts the total magnetization at 0.0 μB/cell. As for the symmetry: Pnma (62). The density of states at the Fermi level is 0.679 states/eV/atom. The relative energy among the computed polymorphs is 13 meV/atom.